Material: Na2PmBi2Pb
Method: DFT, GGA-PBE
State: optimized geometry

Cell: 4.5834 10.2048 8.2683 Å, 90.00 90.00 90.00°
Atoms (fractional coordinates):
Na  0.0000  0.0610  0.0000
Na  0.0000  0.9390  0.5000
Na  0.5000  0.1977  0.2607
Na  0.5000  0.8023  0.7607
Pm  0.5000  0.4183  0.8369
Pm  0.5000  0.5817  0.3369
Bi  0.0000  0.4197  0.1312
Bi  0.0000  0.5803  0.6312
Bi  0.5000  0.1207  0.7319
Bi  0.5000  0.8793  0.2319
Pb  0.0000  0.2774  0.5301
Pb  0.0000  0.7226  0.0301

Values from the calculation:
The calculation puts the formation energy from the elements at -0.398 eV per atom. The calculation puts the total magnetic moment at 0.00 Bohr magnetons per cell. Its density of states at the Fermi level is 4.6 states/eV/cell.

Material: NaYMg6
Method: DFT, GGA-PBE
State: optimized geometry

Cell: 5.2651 6.7241 6.7241 Å, 58.82 90.00 90.00°
Atoms (fractional coordinates):
Na  0.0000  0.0000  0.0000
Y  0.5000  0.1742  0.1742
Mg  0.0000  0.0132  0.5098
Mg  0.0000  0.5098  0.0132
Mg  0.0000  0.5160  0.5160
Mg  0.5000  0.1736  0.6684
Mg  0.5000  0.6684  0.1736
Mg  0.5000  0.6835  0.6835

Values from the calculation:
The calculation puts the formation energy from the elements at 0.057 eV per atom. For the polymorph energy (0 for the lowest one), the calculation gives 0.132 eV per formula unit. The calculation puts the total magnetic moment at 0.00 Bohr magnetons per cell. Its density of states at the Fermi level is 4.6 states/eV/cell.

Material: La5Pm2DyHo
Method: DFT, GGA-PBE
State: optimized geometry

Cell: 10.4512 10.4512 10.4512 Å, 130.60 130.60 72.45°
Atoms (fractional coordinates):
La  0.0000  0.0000  0.0000
La  0.0717  0.5717  0.9302
La  0.1415  0.0717  0.5000
La  0.3585  0.8585  0.9302
La  0.4283  0.3585  0.5000
La  0.5000  0.5000  0.0000
La  0.5717  0.6415  0.5000
La  0.6415  0.1415  0.0698
La  0.8585  0.9283  0.5000
La  0.9283  0.4283  0.0698
Pm  0.1215  0.3785  0.5000
Pm  0.3785  0.8785  0.2569
Pm  0.6215  0.1215  0.7431
Pm  0.8785  0.6215  0.5000
Dy  0.2500  0.7500  0.5000
Dy  0.7500  0.2500  0.5000
Ho  0.2500  0.2500  0.0000
Ho  0.7500  0.7500  0.0000

Values from the calculation:
The calculation puts the formation energy from the elements at 0.272 eV per atom. The calculation puts the total magnetic moment at 0.00 Bohr magnetons per cell. Its density of states at the Fermi level is 34.3 states/eV/cell.

Material: Ce2ErTh
Method: DFT, GGA-PBE
State: optimized geometry

Cell: 11.5255 11.5255 11.5255 Å, 17.34 17.34 17.34°
Atoms (fractional coordinates):
Ce  0.2487  0.2487  0.2487
Ce  0.7513  0.7513  0.7513
Er  0.0000  0.0000  0.0000
Th  0.5000  0.5000  0.5000

Values from the calculation:
The calculation puts the formation energy from the elements at 0.055 eV per atom. For the polymorph energy (0 for the lowest one), the calculation gives 0.000 eV per formula unit. The calculation puts the total magnetic moment at 0.00 Bohr magnetons per cell. Its density of states at the Fermi level is 9.5 states/eV/cell.

Material: Mn3PN
Method: DFT, GGA-PBE
State: optimized geometry

Cell: 4.0934 4.0934 4.0934 Å, 90.00 90.00 90.00°
Atoms (fractional coordinates):
Mn  0.0000  0.0000  0.5000
Mn  0.0000  0.5000  0.0000
Mn  0.5000  0.0000  0.0000
P  0.0000  0.0000  0.0000
N  0.5000  0.5000  0.5000

Values from the calculation:
Its total energy is -6.616 eV/atom. The calculation puts the total magnetic moment at 0.00 Bohr magnetons per cell. Its density of states at the Fermi level is 9.4 states/eV/cell.

Material: Pr2Ni5C
Method: DFT, GGA-PBE
State: optimized geometry

Cell: 5.8804 5.8804 5.8804 Å, 127.14 127.14 78.02°
Atoms (fractional coordinates):
Pr  0.0000  0.5000  0.5000
Pr  0.5000  0.0000  0.5000
Ni  0.0014  0.0014  0.4913
Ni  0.0014  0.5101  0.0000
Ni  0.0756  0.0756  0.0000
Ni  0.5101  0.0014  0.0000
Ni  0.5101  0.5101  0.5087
C  0.8469  0.8469  0.0000

Values from the calculation:
The calculation puts the formation energy from the elements at -0.088 eV per atom. The calculation puts the total magnetic moment at 0.00 Bohr magnetons per cell. Its density of states at the Fermi level is 2.8 states/eV/cell.